The following is a PBE calculation of a relaxed Ag4RhCl7 crystal, from the Alexandria database.

abc: 4.885 9.657 12.381
angles: 146.40 101.38 90.00
Last column: magnetic moment on the atom in μB.
Fractional positions:
Ag (0.559, 0.806, 0.118)  0.00
Ag (0.441, 0.194, 0.882)  0.00
Ag (0.211, 0.763, 0.421)  0.01
Ag (0.789, 0.237, 0.579)  0.01
Rh (0.000, 0.000, 0.000)  0.23
Cl (0.177, 0.441, 0.354)  0.04
Cl (0.823, 0.559, 0.646)  0.04
Cl (0.947, 0.122, 0.894)  0.00
Cl (0.053, 0.878, 0.106)  0.00
Cl (0.646, 0.739, 0.292)  0.00
Cl (0.500, 0.000, 0.000)  0.02
Cl (0.354, 0.261, 0.708)  0.00

The volume comes out at 302 Å³ per cell. The value obtained for the theoretical density is 4.3 g/cm3. Its space group is C2/m (12). The energy relative to the elements, uncorrected comes out at -497.5 kJ/mol of formula units. For the raw total energy, the calculation gives -3.07 eV per atom.

The following is a PBE calculation of a relaxed BaDy2RuO8 crystal, from the Alexandria database.

abc: 5.237 4.361 7.259
angles: 72.75 88.82 87.64
Last column: magnetic moment on the atom in μB.
Fractional positions:
Ba (0.000, 0.000, 0.500)  0.01
Dy (0.526, 0.378, 0.813)  0.02
Dy (0.474, 0.622, 0.187)  0.02
Ru (0.000, 0.000, 0.000)  1.25
O (0.030, 0.645, 0.239)  0.13
O (0.695, 0.837, 0.900)  0.03
O (0.764, 0.213, 0.127)  0.10
O (0.970, 0.355, 0.761)  0.13
O (0.305, 0.163, 0.100)  0.03
O (0.236, 0.787, 0.873)  0.10
O (0.501, 0.678, 0.491)  0.01
O (0.499, 0.322, 0.509)  0.01

The volume comes out at 158 Å³ per cell. The value obtained for the theoretical density is 7.3 g/cm3. Its space group is P-1 (2). The energy relative to the elements, uncorrected comes out at -2516.7 kJ/mol of formula units. For the raw total energy, the calculation gives -7.18 eV per atom.

The following is a PBE calculation of a relaxed Zn2BiP2 crystal, from the Alexandria database.

abc: 3.846 3.846 7.111
angles: 74.31 74.31 90.00
Fractional positions:
P (0.371, 0.371, 0.258)
P (0.629, 0.629, 0.742)
Zn (0.750, 0.250, 0.500)
Zn (0.250, 0.750, 0.500)
Bi (0.000, 0.000, 0.000)

The volume comes out at 97 Å³ per cell. The value obtained for the theoretical density is 6.9 g/cm3. The energy of formation is 0.127 eV per atom. Its space group is I4/mmm (139). For the raw total energy, the calculation gives -3.32 eV per atom.

The following is a PBE calculation of a relaxed Li2PaSe5 crystal, from the Alexandria database.

abc: 7.863 7.863 7.818
angles: 120.19 120.19 90.00
Fractional positions:
Li (0.128, 0.372, 0.000)
Li (0.628, 0.128, 0.000)
Li (0.372, 0.872, 0.000)
Li (0.872, 0.628, 0.000)
Pa (0.750, 0.750, 0.500)
Pa (0.250, 0.250, 0.500)
Se (0.551, 0.665, 0.716)
Se (0.835, 0.949, 0.284)
Se (0.000, 0.000, 0.000)
Se (0.500, 0.500, 0.000)
Se (0.165, 0.051, 0.716)
Se (0.665, 0.165, 0.716)
Se (0.051, 0.551, 0.716)
Se (0.335, 0.835, 0.284)
Se (0.949, 0.449, 0.284)
Se (0.449, 0.335, 0.284)

The volume comes out at 340 Å³ per cell. The value obtained for the theoretical density is 6.3 g/cm3. Its space group is I4/mcm (140). The energy relative to the elements, uncorrected comes out at -661.3 kJ/mol of formula units. For the raw total energy, the calculation gives -4.70 eV per atom.